one) A relaxed TlAg2Te crystal. Source: Alexandria, functional PBEsol.

Unit cell a=3.2942 b=3.2942 c=28.8424 alpha=90.00 beta=90.00 gamma=120.00
Last column: nearest neighbours and their distance in Å.
Space group R3m (No. 160, hexagonal axes)
Inequivalent atoms, fractional coordinates:
Tl1 0.0000 0.0000 0.0000 [3 per cell]  3 Ag 3.02, 6 Tl 3.29
Ag1 0.0000 0.0000 0.4848 [3 per cell]  3 Ag 2.77, 3 Te 2.97
Ag2 0.0000 0.0000 0.7481 [3 per cell]  3 Ag 2.77, 3 Tl 3.02
Te1 0.0000 0.0000 0.2303 [3 per cell]  3 Ag 2.97, 6 Te 3.29

Results
Magnetization = 0.0 μB/f.u.
ρ = 10.066 g/cm³



two) A relaxed TlAg2Te crystal. Source: Alexandria, functional PBEsol.

Unit cell a=3.0717 b=4.0207 c=7.3915 alpha=90.00 beta=90.00 gamma=90.00
Last column: nearest neighbours and their distance in Å.
Space group Pmm2 (No. 25)
Inequivalent atoms, fractional coordinates:
Tl1 0.0000 0.0000 0.0000 [1 per cell]  2 Tl 3.07, 5 Ag 3.13-3.20
Ag1 0.0000 0.0000 0.4330 [1 per cell]  6 Ag 2.87-3.07, 4 Te 3.03, 1 Tl 3.20
Ag2 0.5000 0.5000 0.2499 [1 per cell]  6 Ag 2.87-3.07, 1 Te 3.03, 4 Tl 3.13
Te1 0.5000 0.5000 0.6595 [1 per cell]  5 Ag 3.03, 2 Te 3.07

Results
Magnetization = 0.0 μB/f.u.
ρ = 9.963 g/cm³



Which structure loses on stability? one) does.



one) A relaxed TlAg2 crystal. Source: Alexandria, functional PBEsol.

Unit cell a=11.1380 b=3.1329 c=7.2287 alpha=90.00 beta=111.72 gamma=90.00
Last column: nearest neighbours and their distance in Å.
Space group C2/m (No. 12)
Inequivalent atoms, fractional coordinates:
Tl1 0.1620 0.0000 0.1254 [4 per cell]  8 Ag 2.96-3.16, 2 Tl 3.13
Ag1 0.0435 0.5000 0.7528 [4 per cell]  6 Ag 2.82-3.13, 3 Tl 2.97-3.07
Ag2 0.1491 0.0000 0.5266 [4 per cell]  8 Ag 2.82-3.13, 3 Tl 2.96-3.05

Results
Magnetization = 0.0 μB/f.u.
ρ = 11.908 g/cm³



two) A relaxed TlAg2 crystal. Source: Alexandria, functional PBEsol.

Unit cell a=5.5740 b=5.5740 c=17.9550 alpha=90.00 beta=90.00 gamma=120.00
Last column: nearest neighbours and their distance in Å.
Space group P6_3/mmc (No. 194)
Inequivalent atoms, fractional coordinates:
Tl1 0.0000 0.0000 0.0945 [4 per cell]  12 Ag 3.21-3.26, 4 Tl 3.39-3.41
Tl2 0.3333 0.6667 0.1570 [4 per cell]  12 Ag 3.25-3.27, 4 Tl 3.34-3.41
Ag1 0.0000 0.5000 0.0000 [6 per cell]  6 Ag 2.76-2.79
Ag2 0.1644 0.3287 0.7500 [6 per cell]  6 Ag 2.75-2.83
Ag3 0.3333 0.6667 0.6250 [4 per cell]  6 Ag 2.76-2.77

Results
Magnetization = 0.0 μB/f.u.
ρ = 11.552 g/cm³



Which structure loses on stability? two) does.



one) A relaxed Tl3Ag crystal. Source: Alexandria, functional PBEsol.

Unit cell a=3.3744 b=9.8292 c=6.0772 alpha=90.00 beta=90.00 gamma=90.00
Last column: nearest neighbours and their distance in Å.
Space group Imm2 (No. 44)
Inequivalent atoms, fractional coordinates:
Tl1 0.0000 0.0000 0.0000 [2 per cell]  2 Ag 2.96, 2 Tl 3.18
Tl2 0.0000 0.2139 0.3931 [4 per cell]  3 Ag 2.97-3.33, 1 Tl 3.18
Ag1 0.0000 0.5000 0.0997 [2 per cell]  6 Tl 2.96-2.97

Results
Magnetization = 0.0 μB/f.u.
ρ = 11.880 g/cm³



two) A relaxed Tl3Ag crystal. Source: Alexandria, functional PBEsol.

Unit cell a=3.2993 b=3.2993 c=9.1094 alpha=90.00 beta=90.00 gamma=90.00
Last column: nearest neighbours and their distance in Å.
Space group P4/mmm (No. 123)
Inequivalent atoms, fractional coordinates:
Tl1 0.0000 0.0000 0.0000 [1 per cell]  12 Tl 3.30-3.49
Tl2 0.5000 0.5000 0.2848 [2 per cell]  4 Ag 3.05, 4 Tl 3.30
Ag1 0.0000 0.0000 0.5000 [1 per cell]  8 Tl 3.05, 4 Ag 3.30

Results
Magnetization = 0.0 μB/f.u.
ρ = 12.074 g/cm³



Which structure loses on stability? one) does.